# Rb2InCuBr6 | the Open Quantum Materials Database | PBE | optimized geometry
data_Rb2InCuBr6
_chemical_formula_sum 'Rb2 In1 Cu1 Br6'
_space_group_name_H-M_alt 'P 1'
_space_group_IT_number 1
_space_group_name_Hall 'P 1'
_cell_length_a 7.6326
_cell_length_b 7.6326
_cell_length_c 7.6326
_cell_angle_alpha 60.00
_cell_angle_beta 60.00
_cell_angle_gamma 60.00
loop_
_atom_site_label
_atom_site_type_symbol
_atom_site_fract_x
_atom_site_fract_y
_atom_site_fract_z
_atom_site_occupancy
In1 In 0.5000 0.5000 0.5000 1
Br1 Br 0.7552 0.7552 0.2448 1
Br2 Br 0.7552 0.2448 0.7552 1
Br3 Br 0.2448 0.7552 0.2448 1
Br4 Br 0.7552 0.2448 0.2448 1
Br5 Br 0.2448 0.2448 0.7552 1
Br6 Br 0.2448 0.7552 0.7552 1
Rb1 Rb 0.2500 0.2500 0.2500 1
Rb2 Rb 0.7500 0.7500 0.7500 1
Cu1 Cu 0.0000 0.0000 0.0000 1
# Space-group type ... No. 225
# Uncorrected energy ... -29.04 eV/cell


# YIn2CuBr6 | the Open Quantum Materials Database | PBE | optimized geometry
data_YIn2CuBr6
_chemical_formula_sum 'Y1 In2 Cu1 Br6'
_space_group_name_H-M_alt 'P 1'
_space_group_IT_number 1
_space_group_name_Hall 'P 1'
_cell_length_a 7.6845
_cell_length_b 7.6845
_cell_length_c 7.6845
_cell_angle_alpha 60.00
_cell_angle_beta 60.00
_cell_angle_gamma 60.00
loop_
_atom_site_label
_atom_site_type_symbol
_atom_site_fract_x
_atom_site_fract_y
_atom_site_fract_z
_atom_site_occupancy
In1 In 0.2500 0.2500 0.2500 1
In2 In 0.7500 0.7500 0.7500 1
Y1 Y 0.5000 0.5000 0.5000 1
Br1 Br 0.7563 0.2437 0.7563 1
Br2 Br 0.2437 0.7563 0.2437 1
Br3 Br 0.7563 0.2437 0.2437 1
Br4 Br 0.7563 0.7563 0.2437 1
Br5 Br 0.2437 0.7563 0.7563 1
Br6 Br 0.2437 0.2437 0.7563 1
Cu1 Cu 0.0000 0.0000 0.0000 1
# Space-group type ... No. 225
# Uncorrected energy ... -35.48 eV/cell


# K2CuBr3 | the Open Quantum Materials Database | PBE | optimized geometry
data_K2CuBr3
_chemical_formula_sum 'K8 Cu4 Br12'
_space_group_name_H-M_alt 'P 1'
_space_group_IT_number 1
_space_group_name_Hall 'P 1'
_cell_length_a 12.7485
_cell_length_b 4.3359
_cell_length_c 13.3775
_cell_angle_alpha 90.00
_cell_angle_beta 90.00
_cell_angle_gamma 90.00
loop_
_atom_site_label
_atom_site_type_symbol
_atom_site_fract_x
_atom_site_fract_y
_atom_site_fract_z
_atom_site_occupancy
Br1 Br 0.3676 0.7500 0.5541 1
Br2 Br 0.2751 0.2500 0.7907 1
Br3 Br 0.9393 0.2500 0.3614 1
Br4 Br 0.8676 0.7500 0.9459 1
Br5 Br 0.1324 0.2500 0.0541 1
Br6 Br 0.4393 0.2500 0.1386 1
Br7 Br 0.6324 0.2500 0.4459 1
Br8 Br 0.5607 0.7500 0.8614 1
Br9 Br 0.7249 0.7500 0.2093 1
Br10 Br 0.2249 0.7500 0.2907 1
Br11 Br 0.0607 0.7500 0.6386 1
Br12 Br 0.7751 0.2500 0.7093 1
K1 K 0.5121 0.2500 0.6784 1
K2 K 0.3246 0.7500 0.9840 1
K3 K 0.6754 0.2500 0.0160 1
K4 K 0.8246 0.7500 0.5160 1
K5 K 0.1754 0.2500 0.4840 1
K6 K 0.0121 0.2500 0.8216 1
K7 K 0.4879 0.7500 0.3216 1
K8 K 0.9879 0.7500 0.1784 1
Cu1 Cu 0.7541 0.2500 0.3025 1
Cu2 Cu 0.2459 0.7500 0.6975 1
Cu3 Cu 0.7459 0.7500 0.8025 1
Cu4 Cu 0.2541 0.2500 0.1975 1
# Space-group type ... No. 62
# Uncorrected energy ... -73.72 eV/cell


# K2CuNiBr6 | the Open Quantum Materials Database | PBE | optimized geometry
data_K2CuNiBr6
_chemical_formula_sum 'K2 Cu1 Ni1 Br6'
_space_group_name_H-M_alt 'P 1'
_space_group_IT_number 1
_space_group_name_Hall 'P 1'
_cell_length_a 7.2262
_cell_length_b 7.2262
_cell_length_c 7.2262
_cell_angle_alpha 60.00
_cell_angle_beta 60.00
_cell_angle_gamma 60.00
loop_
_atom_site_label
_atom_site_type_symbol
_atom_site_fract_x
_atom_site_fract_y
_atom_site_fract_z
_atom_site_occupancy
Ni1 Ni 0.5000 0.5000 0.5000 1
K1 K 0.7500 0.7500 0.7500 1
K2 K 0.2500 0.2500 0.2500 1
Br1 Br 0.7454 0.2546 0.2546 1
Br2 Br 0.2546 0.2546 0.7454 1
Br3 Br 0.2546 0.7454 0.2546 1
Br4 Br 0.2546 0.7454 0.7454 1
Br5 Br 0.7454 0.7454 0.2546 1
Br6 Br 0.7454 0.2546 0.7454 1
Cu1 Cu 0.0000 0.0000 0.0000 1
# Space-group type ... No. 225
# Uncorrected energy ... -29.98 eV/cell


# K2ScCuBr6 | the Open Quantum Materials Database | PBE | optimized geometry
data_K2ScCuBr6
_chemical_formula_sum 'K2 Sc1 Cu1 Br6'
_space_group_name_H-M_alt 'P 1'
_space_group_IT_number 1
_space_group_name_Hall 'P 1'
_cell_length_a 7.3831
_cell_length_b 7.3831
_cell_length_c 7.6851
_cell_angle_alpha 120.54
_cell_angle_beta 120.54
_cell_angle_gamma 61.91
loop_
_atom_site_label
_atom_site_type_symbol
_atom_site_fract_x
_atom_site_fract_y
_atom_site_fract_z
_atom_site_occupancy
Sc1 Sc 0.5000 0.5000 0.5000 1
K1 K 0.2501 0.2501 0.7426 1
K2 K 0.7499 0.7499 0.2574 1
Br1 Br 0.7873 0.2944 0.2985 1
Br2 Br 0.2944 0.7873 0.2985 1
Br3 Br 0.2127 0.7056 0.7015 1
Br4 Br 0.7056 0.2127 0.7015 1
Br5 Br 0.2433 0.2433 0.1666 1
Br6 Br 0.7567 0.7567 0.8334 1
Cu1 Cu 0.0000 0.0000 0.0000 1
# Space-group type ... No. 12
# Uncorrected energy ... -36.25 eV/cell


# K2TlCuBr6 | the Open Quantum Materials Database | PBE | optimized geometry
data_K2TlCuBr6
_chemical_formula_sum 'K2 Tl1 Cu1 Br6'
_space_group_name_H-M_alt 'P 1'
_space_group_IT_number 1
_space_group_name_Hall 'P 1'
_cell_length_a 7.7524
_cell_length_b 7.7524
_cell_length_c 7.7524
_cell_angle_alpha 122.27
_cell_angle_beta 122.27
_cell_angle_gamma 86.11
loop_
_atom_site_label
_atom_site_type_symbol
_atom_site_fract_x
_atom_site_fract_y
_atom_site_fract_z
_atom_site_occupancy
Br1 Br 0.7512 0.7512 0.0000 1
Br2 Br 0.2913 0.8279 0.1192 1
Br3 Br 0.7087 0.1721 0.8808 1
Br4 Br 0.2488 0.2488 0.0000 1
Br5 Br 0.1721 0.2913 0.4634 1
Br6 Br 0.8279 0.7087 0.5366 1
Cu1 Cu 0.0000 0.0000 0.0000 1
K1 K 0.7500 0.2500 0.5000 1
K2 K 0.2500 0.7500 0.5000 1
Tl1 Tl 0.5000 0.5000 0.0000 1
# Space-group type ... No. 87
# Uncorrected energy ... -27.80 eV/cell


# La2Cu2Br | the Open Quantum Materials Database | PBE | optimized geometry
data_La2Cu2Br
_chemical_formula_sum 'La2 Cu2 Br1'
_space_group_name_H-M_alt 'P 1'
_space_group_IT_number 1
_space_group_name_Hall 'P 1'
_cell_length_a 4.2003
_cell_length_b 4.2003
_cell_length_c 8.4005
_cell_angle_alpha 90.00
_cell_angle_beta 90.00
_cell_angle_gamma 120.00
loop_
_atom_site_label
_atom_site_type_symbol
_atom_site_fract_x
_atom_site_fract_y
_atom_site_fract_z
_atom_site_occupancy
La1 La 0.0000 0.0000 0.7214 1
La2 La 0.0000 0.0000 0.2786 1
Br1 Br 0.6667 0.3333 0.0000 1
Cu1 Cu 0.6667 0.3333 0.5000 1
Cu2 Cu 0.3333 0.6667 0.5000 1
# Space-group type ... No. 187
# Uncorrected energy ... -22.39 eV/cell


# MgCuBr4 | the Open Quantum Materials Database | PBE | optimized geometry
data_MgCuBr4
_chemical_formula_sum 'Mg1 Cu1 Br4'
_space_group_name_H-M_alt 'P 1'
_space_group_IT_number 1
_space_group_name_Hall 'P 1'
_cell_length_a 6.5178
_cell_length_b 3.7994
_cell_length_c 6.7379
_cell_angle_alpha 90.00
_cell_angle_beta 90.06
_cell_angle_gamma 90.00
loop_
_atom_site_label
_atom_site_type_symbol
_atom_site_fract_x
_atom_site_fract_y
_atom_site_fract_z
_atom_site_occupancy
Br1 Br 0.3283 0.5000 0.2243 1
Br2 Br 0.8391 0.0000 0.2174 1
Br3 Br 0.6717 0.5000 0.7757 1
Br4 Br 0.1609 0.0000 0.7826 1
Cu1 Cu 0.0000 0.5000 0.0000 1
Mg1 Mg 0.5000 0.0000 0.0000 1
# Space-group type ... No. 10
# Uncorrected energy ... -16.93 eV/cell


The highest uncorrected energy belongs to which entry? MgCuBr4